*P*
An optimized crystal structure of LaSmGe2, computed with PBE-GGA.

```
data_LaSmGe2
_chemical_formula_sum 'La1 Sm1 Ge2'
_cell_length_a 4.521
_cell_length_b 4.089
_cell_length_c 6.025
_cell_angle_alpha 90.00
_cell_angle_beta 112.02
_cell_angle_gamma 90.00
_space_group_name_H-M_alt 'P 1'
_space_group_IT_number 1
loop_
_space_group_symop_operation_xyz
'x,y,z'
loop_
_atom_site_label
_atom_site_type_symbol
_atom_site_fract_x
_atom_site_fract_y
_atom_site_fract_z
Ge1 Ge 0.004 0.000 0.547
Ge2 Ge 0.165 0.500 0.869
La1 La 0.444 0.500 0.426
Sm1 Sm 0.718 0.000 0.976
```


*Q*
An optimized crystal structure of LaSmGe2, computed with PBE-GGA.

```
data_LaSmGe2
_chemical_formula_sum 'La1 Sm1 Ge2'
_cell_length_a 3.458
_cell_length_b 3.458
_cell_length_c 8.330
_cell_angle_alpha 90.00
_cell_angle_beta 90.00
_cell_angle_gamma 90.00
_space_group_name_H-M_alt 'P 1'
_space_group_IT_number 1
loop_
_space_group_symop_operation_xyz
'x,y,z'
loop_
_atom_site_label
_atom_site_type_symbol
_atom_site_fract_x
_atom_site_fract_y
_atom_site_fract_z
Ge1 Ge 0.000 0.000 0.744
Ge2 Ge 0.000 0.000 0.256
La1 La 0.500 0.500 0.000
Sm1 Sm 0.500 0.500 0.500
```


Of the structures shown above, *P* is the most stable.